{"formula": "MgCuPCl2", "functional": "PBE-GGA", "state": "optimized geometry", "polymorph_energy_mev_per_atom": 0.0, "raw_formation_energy_ev_per_atom": -0.022, "density_g_cm3": 2.996, "space_group": "P4/mmm", "lattice": [[4.627, 0.000, 0.000], [0.000, 4.627, 0.000], [0.000, 0.000, 4.912]], "species": ["P", "Cl", "Cl", "Mg", "Cu"], "fractional_positions": [[0.000, 0.000, 0.500], [0.500, 0.000, 0.000], [0.000, 0.500, 0.000], [0.500, 0.500, 0.500], [0.000, 0.000, 0.000]]}